# Na2LiBiI6

A relaxed Na2LiBiI6 crystal (GGA-PBE, Alexandria).

a = 8.4768 Å, b = 8.4768 Å, c = 8.4768 Å
α = 60.00°, β = 60.00°, γ = 60.00°
Sites, in units of the cell vectors:
Na1 0.7500 0.7500 0.7500
Na2 0.2500 0.2500 0.2500
Li1 0.5000 0.5000 0.5000
Bi1 0.0000 0.0000 0.0000
I1 0.2554 0.7446 0.2554
I2 0.7446 0.2554 0.2554
I3 0.7446 0.2554 0.7446
I4 0.2554 0.2554 0.7446
I5 0.7446 0.7446 0.2554
I6 0.2554 0.7446 0.7446

* energy above the most stable polymorph in this dataset: 0.179 eV per atom
* SG: Fm-3m, No. 225


# LiBi2IO

A relaxed LiBi2IO crystal (GGA-PBE, Alexandria).

a = 5.0939 Å, b = 4.8823 Å, c = 5.0939 Å
α = 90.00°, β = 90.00°, γ = 90.00°
Sites, in units of the cell vectors:
I1 0.0000 0.5000 0.0000
Bi1 0.0000 0.0000 0.5000
Bi2 0.5000 0.0000 0.0000
O1 0.5000 0.5000 0.5000
Li1 0.0000 0.0000 0.0000

* SG: P4/mmm, No. 123
* electronic total energy: -2.697 eV/atom


# LiBi2IO6

A relaxed LiBi2IO6 crystal (GGA-PBE, Alexandria).

a = 5.7331 Å, b = 5.7332 Å, c = 6.8546 Å
α = 90.00°, β = 114.73°, γ = 120.00°
Sites, in units of the cell vectors:
Li1 0.0767 0.5378 0.6005
Bi1 0.6316 0.8153 0.4328
Bi2 0.5462 0.2726 0.8047
I1 0.0303 0.0146 0.0308
O1 0.4567 0.8840 0.6459
O2 0.4236 0.0896 0.1653
O3 0.8465 0.7558 0.1652
O4 0.0897 0.3328 0.1653
O5 0.7760 0.5718 0.6460
O6 0.0883 0.2033 0.6460

* SG: R3, No. 146
* electronic total energy: -5.109 eV/atom


# LiBiI2O

A relaxed LiBiI2O crystal (GGA-PBE, Alexandria).

a = 6.3209 Å, b = 6.3209 Å, c = 4.3665 Å
α = 90.00°, β = 90.00°, γ = 90.00°
Sites, in units of the cell vectors:
I1 0.0000 0.5000 0.0000
I2 0.5000 0.0000 0.0000
Bi1 0.0000 0.0000 0.0000
O1 0.0000 0.0000 0.5000
Li1 0.5000 0.5000 0.5000

* energy above the most stable polymorph in this dataset: 0.000 eV per atom
* SG: P4/mmm, No. 123


> What is the formula in the first record?

Na2LiBiI6


> Number 2 is which compound?

LiBi2IO